{"formula": "Zr11VO24", "functional": "PBEsol", "state": "optimized geometry", "raw_formation_energy_ev_per_fu": -120.650, "sg": "Pmm2 (25)", "crystal_system": "orthorhombic", "lattice": [[7.198, 0.000, 0.000], [0.000, 10.649, 0.000], [0.000, 0.000, 5.174]], "species": ["Zr", "Zr", "Zr", "Zr", "Zr", "Zr", "Zr", "Zr", "Zr", "Zr", "Zr", "V", "O", "O", "O", "O", "O", "O", "O", "O", "O", "O", "O", "O", "O", "O", "O", "O", "O", "O", "O", "O", "O", "O", "O", "O"], "frac_coords": [[0.000, 0.000, 0.000], [0.000, 0.335, 0.035], [0.000, 0.665, 0.035], [0.247, 0.167, 0.521], [0.247, 0.833, 0.521], [0.255, 0.500, 0.534], [0.500, 0.326, 0.029], [0.500, 0.674, 0.029], [0.745, 0.500, 0.534], [0.753, 0.167, 0.521], [0.753, 0.833, 0.521], [0.500, 0.000, 0.052], [0.000, 0.156, 0.307], [0.000, 0.178, 0.812], [0.000, 0.500, 0.338], [0.000, 0.500, 0.827], [0.000, 0.822, 0.812], [0.000, 0.844, 0.307], [0.210, 0.000, 0.700], [0.246, 0.333, 0.234], [0.246, 0.667, 0.234], [0.267, 0.331, 0.735], [0.267, 0.669, 0.735], [0.270, 0.000, 0.201], [0.500, 0.144, 0.842], [0.500, 0.176, 0.337], [0.500, 0.500, 0.329], [0.500, 0.500, 0.838], [0.500, 0.824, 0.337], [0.500, 0.856, 0.842], [0.730, 0.000, 0.201], [0.733, 0.331, 0.735], [0.733, 0.669, 0.735], [0.754, 0.333, 0.234], [0.754, 0.667, 0.234], [0.790, 0.000, 0.700]]}

{"formula": "ScZn2Cu", "functional": "PBEsol", "state": "optimized geometry", "sg": "I-4m2 (119)", "formation_energy_ev_per_atom": -0.302, "crystal_system": "tetragonal", "lattice": [[-2.177, 2.177, 3.091], [2.177, -2.177, 3.091], [2.177, 2.177, -3.091]], "species": ["Sc", "Zn", "Zn", "Cu"], "frac_coords": [[0.000, 0.000, 0.000], [0.250, 0.750, 0.500], [0.500, 0.500, 0.000], [0.750, 0.250, 0.500]]}

{"formula": "Tl3SiRu", "functional": "PBEsol", "state": "optimized geometry", "raw_formation_energy_ev_per_fu": 6.613, "sg": "Pm-3m (221)", "crystal_system": "cubic", "lattice": [[5.093, 0.000, 0.000], [0.000, 5.093, 0.000], [0.000, 0.000, 5.093]], "species": ["Tl", "Tl", "Tl", "Si", "Ru"], "frac_coords": [[0.000, 0.000, 0.500], [0.000, 0.500, 0.000], [0.500, 0.000, 0.000], [0.000, 0.000, 0.000], [0.500, 0.500, 0.500]]}

{"formula": "Nb3BTe", "functional": "PBEsol", "state": "optimized geometry", "raw_formation_energy_ev_per_fu": 11.957, "sg": "Pm-3m (221)", "crystal_system": "cubic", "lattice": [[4.945, 0.000, 0.000], [0.000, 4.945, 0.000], [0.000, 0.000, 4.945]], "species": ["Nb", "Nb", "Nb", "B", "Te"], "frac_coords": [[0.000, 0.000, 0.500], [0.000, 0.500, 0.000], [0.500, 0.000, 0.000], [0.500, 0.500, 0.500], [0.000, 0.000, 0.000]]}

{"formula": "LaTlTeRu2", "functional": "PBEsol", "state": "optimized geometry", "raw_formation_energy_ev_per_fu": 4.194, "sg": "P4/mmm (123)", "crystal_system": "tetragonal", "lattice": [[4.821, 0.000, 0.000], [0.000, 4.821, 0.000], [0.000, 0.000, 5.826]], "species": ["La", "Tl", "Te", "Ru", "Ru"], "frac_coords": [[0.000, 0.000, 0.000], [0.500, 0.500, 0.000], [0.000, 0.000, 0.500], [0.000, 0.500, 0.500], [0.500, 0.000, 0.500]]}

{"formula": "Li2TeMo", "functional": "PBEsol", "state": "optimized geometry", "raw_formation_energy_ev_per_fu": 0.920, "sg": "Pmmm (47)", "crystal_system": "orthorhombic", "lattice": [[3.015, 0.000, 0.000], [0.000, 4.088, 0.000], [0.000, 0.000, 5.404]], "species": ["Li", "Li", "Te", "Mo"], "frac_coords": [[0.000, 0.000, 0.238], [0.000, 0.000, 0.762], [0.500, 0.500, 0.500], [0.500, 0.500, 0.000]]}

{"formula": "GaSb2TeI", "functional": "PBEsol", "state": "optimized geometry", "raw_formation_energy_ev_per_fu": 4.975, "sg": "P4/mmm (123)", "crystal_system": "tetragonal", "lattice": [[5.740, 0.000, 0.000], [0.000, 5.740, 0.000], [0.000, 0.000, 5.778]], "species": ["Ga", "Sb", "Sb", "Te", "I"], "frac_coords": [[0.000, 0.000, 0.000], [0.000, 0.500, 0.500], [0.500, 0.000, 0.500], [0.500, 0.500, 0.000], [0.500, 0.500, 0.500]]}

{"formula": "Rb3CrCo", "functional": "PBEsol", "state": "optimized geometry", "sg": "Pm-3m (221)", "formation_energy_ev_per_atom": 1.396, "crystal_system": "cubic", "lattice": [[6.289, 0.000, 0.000], [0.000, 6.289, 0.000], [0.000, 0.000, 6.289]], "species": ["Rb", "Rb", "Rb", "Cr", "Co"], "frac_coords": [[0.000, 0.000, 0.500], [0.000, 0.500, 0.000], [0.500, 0.000, 0.000], [0.500, 0.500, 0.500], [0.000, 0.000, 0.000]]}

{"formula": "Li3MnO2F", "functional": "PBEsol", "state": "optimized geometry", "raw_formation_energy_ev_per_fu": -13.698, "sg": "Pnnm (58)", "crystal_system": "orthorhombic", "lattice": [[8.046, 0.000, 0.000], [0.000, 8.714, 0.000], [0.000, 0.000, 3.803]], "species": ["Li", "Li", "Li", "Li", "Li", "Li", "Li", "Li", "Li", "Li", "Li", "Li", "Mn", "Mn", "Mn", "Mn", "O", "O", "O", "O", "O", "O", "O", "O", "F", "F", "F", "F"], "frac_coords": [[0.112, 0.101, 0.000], [0.120, 0.843, 0.500], [0.139, 0.651, 0.000], [0.361, 0.151, 0.500], [0.380, 0.343, 0.000], [0.388, 0.601, 0.500], [0.612, 0.399, 0.500], [0.620, 0.657, 0.000], [0.639, 0.849, 0.500], [0.861, 0.349, 0.000], [0.880, 0.157, 0.500], [0.888, 0.899, 0.000], [0.128, 0.394, 0.500], [0.372, 0.894, 0.000], [0.628, 0.106, 0.000], [0.872, 0.606, 0.500], [0.111, 0.606, 0.500], [0.144, 0.881, 0.000], [0.356, 0.381, 0.500], [0.389, 0.106, 0.000], [0.611, 0.894, 0.000], [0.644, 0.619, 0.500], [0.856, 0.119, 0.000], [0.889, 0.394, 0.500], [0.120, 0.164, 0.500], [0.380, 0.664, 0.000], [0.620, 0.336, 0.000], [0.880, 0.836, 0.500]]}

{"formula": "Mg3PdO", "functional": "PBEsol", "state": "optimized geometry", "raw_formation_energy_ev_per_fu": -6.022, "sg": "Pm-3m (221)", "crystal_system": "cubic", "lattice": [[4.165, 0.000, 0.000], [0.000, 4.165, 0.000], [0.000, 0.000, 4.165]], "species": ["Mg", "Mg", "Mg", "Pd", "O"], "frac_coords": [[0.000, 0.000, 0.500], [0.000, 0.500, 0.000], [0.500, 0.000, 0.000], [0.500, 0.500, 0.500], [0.000, 0.000, 0.000]]}

{"formula": "Ca2CrCo", "functional": "PBEsol", "state": "optimized geometry", "sg": "P4mm (99)", "formation_energy_ev_per_atom": 0.453, "crystal_system": "tetragonal", "lattice": [[3.162, 0.000, 0.000], [0.000, 3.162, 0.000], [0.000, 0.000, 8.478]], "species": ["Ca", "Ca", "Cr", "Co"], "frac_coords": [[0.000, 0.000, 0.000], [0.500, 0.500, 0.395], [0.500, 0.500, 0.734], [0.000, 0.000, 0.651]]}

{"formula": "TlCdAg2", "functional": "PBEsol", "state": "optimized geometry", "sg": "F-43m (216)", "formation_energy_ev_per_atom": 0.102, "crystal_system": "cubic", "lattice": [[0.000, 3.397, 3.397], [3.397, 0.000, 3.397], [3.397, 3.397, 0.000]], "species": ["Tl", "Cd", "Ag", "Ag"], "frac_coords": [[0.000, 0.000, 0.000], [0.750, 0.750, 0.750], [0.250, 0.250, 0.250], [0.500, 0.500, 0.500]]}

Number 1: density of states at the Fermi level 4.2 states/eV per cell. Number 2: density of states at the Fermi level 1.6 states/eV per cell. Number 3: density of states at the Fermi level 5.9 states/eV per cell. Number 4: density of states at the Fermi level 7.0 states/eV per cell. Number 5: density of states at the Fermi level 6.1 states/eV per cell. Number 6: density of states at the Fermi level 2.9 states/eV per cell. Number 7: density of states at the Fermi level 6.9 states/eV per cell. Number 8: density of states at the Fermi level 6.0 states/eV per cell. Number 9: density of states at the Fermi level 3.9 states/eV per cell. Number 10: density of states at the Fermi level 1.1 states/eV per cell. Number 11: density of states at the Fermi level 5.5 states/eV per cell. Number 12: density of states at the Fermi level 0.7 states/eV per cell.